# 1
The following is a GGA-PBE calculation of a relaxed Ca2Sb4Pd3Au crystal, from Alexandria.

The calculation puts the volume at 23.59 Å³/atom. For the spin magnetization, the calculation gives 0.00 μB/f.u. Its raw formation energy is -62 kJ per mole of atoms.

It has space group P-4m2 (No. 115), with a = 4.583 Å, b = 4.583 Å, c = 11.233 Å, α = 90.00°, β = 90.00° and γ = 90.00°. Symmetry generates all atoms from Ca at (0.000, 0.500, 0.235), Sb at (0.000, 0.000, 0.500), Sb at (0.000, 0.500, 0.863), Sb at (0.500, 0.500, 0.500), Pd at (0.000, 0.000, 0.000), Pd at (0.000, 0.500, 0.631) and Au at (0.500, 0.500, 0.000).

---

# 2
The following is a GGA-PBE calculation of a relaxed PuThPd14 crystal, from Alexandria.

The calculation puts the volume at 16.86 Å³/atom. For the spin magnetization, the calculation gives 4.24 μB/f.u. The formation energy is -383 meV per atom.

It has space group P4/mmm (No. 123), with a = 5.872 Å, b = 5.872 Å, c = 7.824 Å, α = 90.00°, β = 90.00° and γ = 90.00°. Symmetry generates all atoms from Pu at (0.000, 0.000, 0.000), Th at (0.500, 0.500, 0.000), Pd at (0.000, 0.000, 0.500), Pd at (0.000, 0.500, 0.000), Pd at (0.000, 0.500, 0.500), Pd at (0.249, 0.249, 0.258) and Pd at (0.500, 0.500, 0.500).

---

# 3
The following is a GGA-PBE calculation of a relaxed Rb3Nd2MgTe6 crystal, from Alexandria.

The calculation puts the volume at 38.75 Å³/atom. For the spin magnetization, the calculation gives 0.00 μB/f.u. Its raw formation energy is -111 kJ per mole of atoms.

It has space group C2/m (No. 12), with a = 7.867 Å, b = 13.648 Å, c = 9.056 Å, α = 90.00°, β = 106.96° and γ = 90.00°. Symmetry generates all atoms from Rb at (0.000, 0.000, 0.000), Rb at (0.000, 0.329, 0.000), Nd at (0.000, 0.166, 0.500), Mg at (0.000, 0.500, 0.500), Te at (0.227, 0.339, 0.700) and Te at (0.246, 0.000, 0.702).

---

# 4
The following is a GGA-PBE calculation of a relaxed LaPmZnSn crystal, from Alexandria.

The calculation puts the volume at 27.77 Å³/atom. For the spin magnetization, the calculation gives 0.00 μB/f.u. The formation energy is -534 meV per atom.

It has space group F-43m (No. 216), with a = 7.630 Å, b = 7.630 Å, c = 7.630 Å, α = 90.00°, β = 90.00° and γ = 90.00°. Symmetry generates all atoms from La at (0.000, 0.000, 0.000), Pm at (0.000, 0.000, 0.500), Zn at (0.250, 0.250, 0.250) and Sn at (0.250, 0.250, 0.750).

---

# 5
The following is a GGA-PBE calculation of a relaxed LuZrCo crystal, from Alexandria.

The energy above the lowest structure with this stoichiometry comes out at 69.1 meV/atom. The calculation puts the volume at 21.36 Å³/atom. For the spin magnetization, the calculation gives 0.00 μB/f.u. The formation energy is -52 meV per atom.

It has space group F-43m (No. 216), with a = 6.352 Å, b = 6.352 Å, c = 6.352 Å, α = 90.00°, β = 90.00° and γ = 90.00°. Symmetry generates all atoms from Lu at (0.000, 0.000, 0.000), Zr at (0.000, 0.000, 0.500) and Co at (0.250, 0.250, 0.250).

---

# 6
The following is a GGA-PBE calculation of a relaxed Cd2H2Rh crystal, from Alexandria.

The energy above the lowest structure with this stoichiometry comes out at 0.0 meV/atom. The calculation puts the volume at 14.46 Å³/atom. For the spin magnetization, the calculation gives 0.00 μB/f.u.

It has space group C2/m (No. 12), with a = 10.310 Å, b = 3.162 Å, c = 9.636 Å, α = 90.00°, β = 112.96° and γ = 90.00°. Symmetry generates all atoms from Cd at (0.003, 0.000, 0.343), Cd at (0.246, 0.000, 0.126), H at (0.097, 0.500, 0.198), H at (0.203, 0.500, 0.547) and Rh at (0.233, 0.500, 0.360).

---

# 7
The following is a GGA-PBE calculation of a relaxed Li2MgCdHg4 crystal, from Alexandria.

The calculation puts the volume at 20.72 Å³/atom. For the spin magnetization, the calculation gives 0.00 μB/f.u. The formation energy is -254 meV per atom.

It has space group R-3m (No. 166, hexagonal axes), with a = 4.9084 Å, b = 4.9084 Å, c = 23.8347 Å, α = 90.00°, β = 90.00° and γ = 120.00°. Symmetry generates all atoms from Li at (0.0000, 0.0000, 0.2475), Mg at (0.0000, 0.0000, 0.0000), Cd at (0.0000, 0.0000, 0.5000), Hg at (0.0000, 0.0000, 0.1229) and Hg at (0.0000, 0.0000, 0.3704).

---

# 8
The following is a GGA-PBE calculation of a relaxed K3VCl8 crystal, from Alexandria.

The calculation puts the volume at 29.04 Å³/atom. For the spin magnetization, the calculation gives 0.72 μB/f.u. Its raw formation energy is -112 kJ per mole of atoms.

It has space group I4/mmm (No. 139), with a = 7.077 Å, b = 7.077 Å, c = 13.916 Å, α = 90.00°, β = 90.00° and γ = 90.00°. Symmetry generates all atoms from K at (0.000, 0.000, 0.000), K at (0.000, 0.500, 0.250), V at (0.000, 0.000, 0.500) and Cl at (0.211, 0.211, 0.393).

---

# 9
The following is a GGA-PBE calculation of a relaxed LaY2CdO crystal, from Alexandria.

The calculation puts the volume at 23.68 Å³/atom. For the spin magnetization, the calculation gives 0.00 μB/f.u. Its raw formation energy is -125 kJ per mole of atoms.

It has space group P4/mmm (No. 123), with a = 4.851 Å, b = 4.851 Å, c = 5.031 Å, α = 90.00°, β = 90.00° and γ = 90.00°. Symmetry generates all atoms from La at (0.000, 0.000, 0.000), Y at (0.000, 0.500, 0.500), Cd at (0.500, 0.500, 0.000) and O at (0.000, 0.000, 0.500).

---

# 10
The following is a GGA-PBE calculation of a relaxed Mg2TaZn crystal, from Alexandria.

The calculation puts the volume at 18.36 Å³/atom. For the spin magnetization, the calculation gives 0.00 μB/f.u. The formation energy is 128 meV per atom.

It has space group Cmmm (No. 65), with a = 4.027 Å, b = 4.143 Å, c = 8.802 Å, α = 90.00°, β = 90.00° and γ = 90.00°. Symmetry generates all atoms from Mg at (0.000, 0.000, 0.241), Ta at (0.000, 0.500, 0.500) and Zn at (0.000, 0.500, 0.000).

---

# 11
The following is a GGA-PBE calculation of a relaxed Pu3ThAl8 crystal, from Alexandria.

The energy above the lowest structure with this stoichiometry comes out at 0.0 meV/atom. The calculation puts the volume at 20.04 Å³/atom. For the spin magnetization, the calculation gives 6.12 μB/f.u. The formation energy is -375 meV per atom.

It has space group R3m (No. 160, hexagonal axes), with a = 5.5449 Å, b = 5.5449 Å, c = 27.0927 Å, α = 90.00°, β = 90.00° and γ = 120.00°. Symmetry generates all atoms from Pu at (0.0000, 0.0000, 0.0000), Pu at (0.0000, 0.0000, 0.1219), Pu at (0.0000, 0.0000, 0.4963), Th at (0.0000, 0.0000, 0.6225), Al at (0.0000, 0.0000, 0.3107), Al at (0.0000, 0.0000, 0.8098), Al at (0.0002, 0.5001, 0.5591) and Al at (0.0014, 0.5007, 0.0608).

---

# 12
The following is a GGA-PBE calculation of a relaxed SrLiCaEu crystal, from Alexandria.

The calculation puts the volume at 41.70 Å³/atom. For the spin magnetization, the calculation gives 7.62 μB/f.u. The formation energy is 102 meV per atom.

It has space group F-43m (No. 216), with a = 8.738 Å, b = 8.738 Å, c = 8.738 Å, α = 90.00°, β = 90.00° and γ = 90.00°. Symmetry generates all atoms from Sr at (0.000, 0.000, 0.000), Li at (0.250, 0.250, 0.750), Ca at (0.250, 0.250, 0.250) and Eu at (0.000, 0.000, 0.500).

---

Calculated total energy across the listed records, respectively: -45.8, -100.6, -93.4, -68.4, -81.3, -64.1, -28.7, -82.1, -30.2, -31.6, -254.6, -61.8 eV per cell.